Crystalline K4Pm3TmO8 at its relaxed geometry, computed with PBE.

For the density, the calculation gives 5.3 g/cm3. The value obtained for the total energy is -6.604 eV per atom. The value obtained for the formation energy from raw total energies is -2.68 eV/atom. The calculation puts the density of states at the Fermi level at 0.000 states/eV/f.u.

The structure belongs to space group R-3m (No. 166, hexagonal axes); the cell edges are 7.1285, 7.1285 and 18.8596 Å and the angles 90.00°, 90.00° and 120.00°. The asymmetric unit holds K at (0.0000, 0.0000, 0.0000), K at (0.0000, 0.5000, 0.0000), Pm at (0.0000, 0.5000, 0.5000), Tm at (0.0000, 0.0000, 0.5000), O at (0.0000, 0.0000, 0.2302) and O at (0.0106, 0.5053, 0.2290).